(1)
Below is LiMnAs after structural relaxation, with properties calculated at the PBE level.

For the energy of formation, the calculation gives -1.39 eV/f.u. Its energy relative to the lowest polymorph listed for this composition is 0 meV/atom.

The structure in CIF format:
```
data_LiMnAs
_space_group_name_H-M_alt 'P 4/n m m'
_space_group_IT_number 129
_cell_length_a 3.734
_cell_length_b 3.734
_cell_length_c 6.422
_cell_angle_alpha 90.00
_cell_angle_beta 90.00
_cell_angle_gamma 90.00
loop_
_space_group_symop_operation_xyz
'x,y,z'
'-x,-y,-z'
'-y+1/2,x,z'
'y+1/2,-x,-z'
'-x+1/2,-y+1/2,z'
'x+1/2,y+1/2,-z'
'y,-x+1/2,z'
'-y,x+1/2,-z'
'x+1/2,-y,-z'
'-x+1/2,y,z'
'-y,-x,-z'
'y,x,z'
'-x,y+1/2,-z'
'x,-y+1/2,z'
'y+1/2,x+1/2,-z'
'-y+1/2,-x+1/2,z'
loop_
_atom_site_label
_atom_site_fract_x
_atom_site_fract_y
_atom_site_fract_z
Li1 0.250 0.250 0.159
Mn1 0.250 0.750 0.500
As1 0.250 0.250 0.740
```

(2)
Below is CdWAu2 after structural relaxation, with properties calculated at the PBE level.

For the energy of formation, the calculation gives 1.41 eV/f.u. Its energy relative to the lowest polymorph listed for this composition is 172 meV/atom.

The structure in CIF format:
```
data_CdWAu2
_space_group_name_H-M_alt 'C m m m'
_space_group_IT_number 65
_space_group_name_Hall '-C 2 2'
_cell_length_a 6.167
_cell_length_b 8.323
_cell_length_c 2.789
_cell_angle_alpha 90.00
_cell_angle_beta 90.00
_cell_angle_gamma 90.00
loop_
_atom_site_label
_atom_site_fract_x
_atom_site_fract_y
_atom_site_fract_z
Cd1 0.000 0.000 0.000
W1 0.000 0.500 0.000
Au1 0.250 0.250 0.500
```

(3)
Below is Ta3SnBr after structural relaxation, with properties calculated at the PBE level.

The value obtained for the raw formation energy is 1.34 eV/atom. Its energy relative to the lowest polymorph listed for this composition is 0 meV/atom.

The structure in CIF format:
```
data_Ta3SnBr
_space_group_name_H-M_alt 'P m -3 m'
_space_group_IT_number 221
_space_group_name_Hall '-P 4 2 3'
_cell_length_a 4.740
_cell_length_b 4.740
_cell_length_c 4.740
_cell_angle_alpha 90.00
_cell_angle_beta 90.00
_cell_angle_gamma 90.00
loop_
_atom_site_label
_atom_site_fract_x
_atom_site_fract_y
_atom_site_fract_z
Ta1 0.000 0.000 0.500
Sn1 0.500 0.500 0.500
Br1 0.000 0.000 0.000
```

(4)
Below is Ac3In2Hg2 after structural relaxation, with properties calculated at the PBE level.

For the energy of formation, the calculation gives -2.83 eV/f.u.

The structure in CIF format:
```
data_Ac3In2Hg2
_space_group_name_H-M_alt 'C 1 2/m 1'
_space_group_IT_number 12
_cell_length_a 12.114
_cell_length_b 5.180
_cell_length_c 7.467
_cell_angle_alpha 90.00
_cell_angle_beta 103.46
_cell_angle_gamma 90.00
loop_
_space_group_symop_operation_xyz
'x,y,z'
'-x,-y,-z'
'-x,y,-z'
'x,-y,z'
'x+1/2,y+1/2,z'
'-x+1/2,-y+1/2,-z'
'-x+1/2,y+1/2,-z'
'x+1/2,-y+1/2,z'
loop_
_atom_site_label
_atom_site_fract_x
_atom_site_fract_y
_atom_site_fract_z
Ac1 0.000 0.000 0.000
Ac2 0.167 0.000 0.592
In1 0.203 0.500 0.904
Hg1 0.040 0.500 0.312
```

no.,E_tot (eV for the cell shown)
1,-34.2
2,-38.0
3,-34.6
4,-42.5